The following is a PBE calculation of a relaxed structure of GaPbSCl2, from Alexandria via LeMat-Bulk.

a = 4.9071 Å, b = 4.9071 Å, c = 4.8580 Å
α = 90.00°, β = 90.00°, γ = 90.00°
Space group P4/mmm (No. 123)
Asymmetric unit:
1 Ga 0.0000 0.0000 0.0000 (multiplicity 1)
2 Pb 0.5000 0.5000 0.5000 (multiplicity 1)
3 S 0.0000 0.0000 0.5000 (multiplicity 1)
4 Cl 0.0000 0.5000 0.0000 (multiplicity 2)

Results
Offset from the most stable computed form in eV per atom: 0.000
Energy relative to the elements, uncorrected in eV/atom: -0.535